(1)
The following is a PBE-GGA calculation of crystalline NaPmGa3 at its relaxed geometry, from the Alexandria database.

a = 13.302 Å, b = 13.302 Å, c = 4.315 Å
α = 90.00°, β = 90.00°, γ = 162.00°
Fractional positions:
Na1 0.210 0.790 0.750
Na2 0.790 0.210 0.250
Pm1 0.069 0.931 0.250
Pm2 0.931 0.069 0.750
Ga1 0.331 0.669 0.750
Ga2 0.381 0.619 0.250
Ga3 0.476 0.524 0.250
Ga4 0.524 0.476 0.750
Ga5 0.619 0.381 0.750
Ga6 0.669 0.331 0.250

Calculated values
Crystal system: orthorhombic
Space group: Cmcm (63)
DFT formation energy: -0.394 eV per atom
Magnetic moment: 0.0 μB/cell
VASP energy: -3.42 eV/atom

(2)
The following is a PBE-GGA calculation of crystalline KLi2AgF4 at its relaxed geometry, from the Alexandria database.

a = 7.705 Å, b = 7.705 Å, c = 9.533 Å
α = 90.00°, β = 90.00°, γ = 155.59°
Fractional positions:
K1 0.075 0.925 0.750
K2 0.925 0.075 0.250
Li1 0.418 0.582 0.551
Li2 0.418 0.582 0.949
Li3 0.582 0.418 0.051
Li4 0.582 0.418 0.449
Ag1 0.224 0.776 0.250
Ag2 0.776 0.224 0.750
F1 0.000 0.000 0.000
F2 0.000 0.000 0.500
F3 0.338 0.662 0.089
F4 0.338 0.662 0.411
F5 0.406 0.594 0.750
F6 0.594 0.406 0.250
F7 0.662 0.338 0.589
F8 0.662 0.338 0.911

Calculated values
Crystal system: orthorhombic
Space group: Cmcm (63)
Magnetic moment: 0.0 μB/cell
VASP energy: -4.19 eV/atom
Raw formation energy: -2279 meV per atom

(3)
The following is a PBE-GGA calculation of crystalline Tl5Hg2F12 at its relaxed geometry, from the Alexandria database.

a = 7.713 Å, b = 7.713 Å, c = 7.683 Å
α = 105.25°, β = 105.25°, γ = 56.70°
Fractional positions:
Tl1 0.000 0.000 0.000
Tl2 0.303 0.303 0.119
Tl3 0.306 0.306 0.676
Tl4 0.694 0.694 0.324
Tl5 0.697 0.697 0.881
Hg1 0.250 0.750 0.500
Hg2 0.750 0.250 0.500
F1 0.005 0.005 0.301
F2 0.075 0.674 0.942
F3 0.115 0.543 0.403
F4 0.326 0.925 0.058
F5 0.457 0.885 0.597
F6 0.497 0.497 0.708
F7 0.503 0.503 0.292
F8 0.543 0.115 0.403
F9 0.674 0.075 0.942
F10 0.885 0.457 0.597
F11 0.925 0.326 0.058
F12 0.995 0.995 0.699

Calculated values
Crystal system: monoclinic
Space group: C2/m (12)
Magnetic moment: 0.0 μB/cell
VASP energy: -3.51 eV/atom
Raw formation energy: -1674 meV per atom

(4)
The following is a PBE-GGA calculation of crystalline Pr2As3PdPt4 at its relaxed geometry, from the Alexandria database.

a = 4.366 Å, b = 4.366 Å, c = 10.399 Å
α = 90.00°, β = 90.00°, γ = 90.00°
Fractional positions:
Pr1 0.000 0.500 0.250
Pr2 0.500 0.000 0.750
As1 0.000 0.000 0.000
As2 0.000 0.500 0.629
As3 0.500 0.000 0.371
Pd1 0.500 0.500 0.000
Pt1 0.000 0.000 0.500
Pt2 0.000 0.500 0.861
Pt3 0.500 0.000 0.139
Pt4 0.500 0.500 0.500

Calculated values
Crystal system: tetragonal
Space group: P-4m2 (115)
DFT formation energy: -0.808 eV per atom
Magnetic moment: 0.0 μB/cell
VASP energy: -6.09 eV/atom

(5)
The following is a PBE-GGA calculation of crystalline Li2HfGaO at its relaxed geometry, from the Alexandria database.

a = 4.057 Å, b = 4.057 Å, c = 4.233 Å
α = 90.00°, β = 90.00°, γ = 90.00°
Fractional positions:
Li1 0.000 0.500 0.000
Li2 0.500 0.000 0.000
Hf1 0.000 0.000 0.500
Ga1 0.500 0.500 0.500
O1 0.000 0.000 0.000

Calculated values
Crystal system: tetragonal
Space group: P4/mmm (123)
Magnetic moment: 0.0 μB/cell
VASP energy: -5.57 eV/atom
Raw formation energy: -1219 meV per atom

(6)
The following is a PBE-GGA calculation of crystalline Tb3Al3Os2 at its relaxed geometry, from the Alexandria database.

a = 7.680 Å, b = 15.327 Å, c = 5.790 Å
α = 90.00°, β = 90.00°, γ = 90.00°
Fractional positions:
Tb1 0.035 0.108 0.104
Tb2 0.035 0.392 0.104
Tb3 0.172 0.250 0.632
Tb4 0.328 0.750 0.132
Tb5 0.465 0.608 0.604
Tb6 0.465 0.892 0.604
Tb7 0.535 0.108 0.396
Tb8 0.535 0.392 0.396
Tb9 0.672 0.250 0.868
Tb10 0.828 0.750 0.368
Tb11 0.965 0.608 0.896
Tb12 0.965 0.892 0.896
Al1 0.161 0.035 0.595
Al2 0.161 0.465 0.595
Al3 0.171 0.750 0.615
Al4 0.329 0.250 0.115
Al5 0.339 0.535 0.095
Al6 0.339 0.965 0.095
Al7 0.661 0.035 0.905
Al8 0.661 0.465 0.905
Al9 0.671 0.750 0.885
Al10 0.829 0.250 0.385
Al11 0.839 0.535 0.405
Al12 0.839 0.965 0.405
Os1 0.134 0.607 0.373
Os2 0.134 0.893 0.373
Os3 0.366 0.107 0.873
Os4 0.366 0.393 0.873
Os5 0.634 0.607 0.127
Os6 0.634 0.893 0.127
Os7 0.866 0.107 0.627
Os8 0.866 0.393 0.627

Calculated values
Crystal system: orthorhombic
Space group: Pnma (62)
DFT formation energy: -0.450 eV per atom
Magnetic moment: 0.0 μB/cell
VASP energy: -6.40 eV/atom

(7)
The following is a PBE-GGA calculation of crystalline NaLiNb3 at its relaxed geometry, from the Alexandria database.

a = 4.571 Å, b = 4.571 Å, c = 4.571 Å
α = 90.00°, β = 90.00°, γ = 90.00°
Fractional positions:
Na1 0.000 0.000 0.000
Li1 0.500 0.500 0.500
Nb1 0.000 0.500 0.500
Nb2 0.500 0.000 0.500
Nb3 0.500 0.500 0.000

Calculated values
Crystal system: cubic
Space group: Pm-3m (221)
DFT formation energy: 1.408 eV per atom
Magnetic moment: 0.0 μB/cell
VASP energy: -5.28 eV/atom
Distance to the lowest polymorph of the same formula: 0 meV/atom

(8)
The following is a PBE-GGA calculation of crystalline SrSi2As at its relaxed geometry, from the Alexandria database.

a = 8.039 Å, b = 8.039 Å, c = 8.039 Å
α = 27.32°, β = 27.32°, γ = 27.32°
Fractional positions:
Sr1 0.000 0.000 0.000
Si1 0.230 0.230 0.230
Si2 0.770 0.770 0.770
As1 0.500 0.500 0.500

Calculated values
Crystal system: trigonal
Space group: R-3m (166)
Magnetic moment: 0.0 μB/cell
VASP energy: -4.08 eV/atom
Raw formation energy: 217 meV per atom

(9)
The following is a PBE-GGA calculation of crystalline CsPuTl2O6 at its relaxed geometry, from the Alexandria database.

a = 5.846 Å, b = 6.146 Å, c = 7.773 Å
α = 66.90°, β = 88.42°, γ = 62.13°
Fractional positions:
Cs1 0.000 0.000 0.000
Pu1 0.467 0.106 0.400
Tl1 0.251 0.541 0.730
Tl2 0.769 0.483 0.392
O1 0.083 0.458 0.254
O2 0.308 0.972 0.599
O3 0.418 0.916 0.250
O4 0.568 0.295 0.562
O5 0.607 0.274 0.204
O6 0.824 0.753 0.528

Calculated values
Crystal system: triclinic
Space group: P1 (1)
Magnetic moment: 1.0 μB/cell
VASP energy: -6.51 eV/atom
Raw formation energy: -1548 meV per atom

(10)
The following is a PBE-GGA calculation of crystalline CdReCl2 at its relaxed geometry, from the Alexandria database.

a = 4.750 Å, b = 4.750 Å, c = 4.750 Å
α = 60.00°, β = 60.00°, γ = 60.00°
Fractional positions:
Cd1 0.000 0.000 0.000
Re1 0.500 0.500 0.500
Cl1 0.250 0.250 0.250
Cl2 0.750 0.750 0.750

Calculated values
Crystal system: cubic
Space group: Fm-3m (225)
Magnetic moment: 2.6 μB/cell
VASP energy: -3.24 eV/atom
Distance to the lowest polymorph of the same formula: 991 meV/atom
Raw formation energy: 1020 meV per atom

(11)
The following is a PBE-GGA calculation of crystalline Ba3Y3MgSe8 at its relaxed geometry, from the Alexandria database.

a = 8.942 Å, b = 8.942 Å, c = 8.942 Å
α = 56.30°, β = 56.30°, γ = 56.30°
Fractional positions:
Ba1 0.000 0.500 0.500
Ba2 0.500 0.000 0.500
Ba3 0.500 0.500 0.000
Y1 0.000 0.000 0.500
Y2 0.000 0.500 0.000
Y3 0.500 0.000 0.000
Mg1 0.500 0.500 0.500
Se1 0.238 0.238 0.238
Se2 0.239 0.733 0.733
Se3 0.267 0.267 0.761
Se4 0.267 0.761 0.267
Se5 0.733 0.239 0.733
Se6 0.733 0.733 0.239
Se7 0.761 0.267 0.267
Se8 0.762 0.762 0.762

Calculated values
Crystal system: trigonal
Space group: R-3m (166)
Magnetic moment: 0.0 μB/cell
VASP energy: -5.47 eV/atom
Raw formation energy: -1824 meV per atom

(12)
The following is a PBE-GGA calculation of crystalline LaSnS2Cl at its relaxed geometry, from the Alexandria database.

a = 5.557 Å, b = 5.557 Å, c = 5.347 Å
α = 90.00°, β = 90.00°, γ = 90.00°
Fractional positions:
La1 0.000 0.000 0.000
Sn1 0.500 0.500 0.500
S1 0.000 0.500 0.000
S2 0.500 0.000 0.000
Cl1 0.000 0.000 0.500

Calculated values
Crystal system: tetragonal
Space group: P4/mmm (123)
Magnetic moment: 0.0 μB/cell
VASP energy: -4.72 eV/atom
Distance to the lowest polymorph of the same formula: 0 meV/atom
Raw formation energy: -917 meV per atom